{"formula": "Li3SiAu8", "functional": "PBE-GGA", "state": "relaxed", "lattice": [[5.660, 0.000, 0.000], [2.827, 6.432, 0.000], [2.741, -0.646, 6.447]], "species": ["Li", "Li", "Li", "Si", "Au", "Au", "Au", "Au", "Au", "Au", "Au", "Au"], "fractional_positions": [[0.000, 0.000, 0.000], [0.011, 0.583, 0.412], [0.505, 0.289, 0.710], [0.508, 0.733, 0.266], [0.034, 0.009, 0.420], [0.329, 0.698, 0.644], [0.336, 0.216, 0.113], [0.459, 0.581, 0.991], [0.551, 0.013, 0.416], [0.674, 0.881, 0.777], [0.681, 0.357, 0.304], [0.977, 0.580, 0.988]], "energy_ev_per_fu": -40.329, "e_form_raw_mev_per_atom": -245, "crystal_system": "triclinic"}



{"formula": "Li3SiAu6", "functional": "PBE-GGA", "state": "relaxed", "lattice": [[8.087, 0.000, 0.000], [0.000, 9.880, 0.000], [0.000, 0.000, 4.259]], "species": ["Li", "Li", "Li", "Li", "Li", "Li", "Si", "Si", "Au", "Au", "Au", "Au", "Au", "Au", "Au", "Au", "Au", "Au", "Au", "Au"], "fractional_positions": [[0.000, 0.000, 0.000], [0.120, 0.221, 0.500], [0.380, 0.721, 0.000], [0.500, 0.500, 0.500], [0.620, 0.279, 0.000], [0.880, 0.779, 0.500], [0.000, 0.500, 0.000], [0.500, 0.000, 0.500], [0.066, 0.746, 0.000], [0.173, 0.567, 0.500], [0.204, 0.899, 0.500], [0.296, 0.399, 0.000], [0.327, 0.067, 0.000], [0.434, 0.246, 0.500], [0.566, 0.754, 0.500], [0.673, 0.933, 0.000], [0.704, 0.601, 0.000], [0.796, 0.101, 0.500], [0.827, 0.433, 0.500], [0.934, 0.254, 0.000]], "polymorph_energy_kj_per_mol_atoms": 0.0, "energy_ev_per_fu": -34.047, "e_form_raw_mev_per_atom": -322, "crystal_system": "orthorhombic"}



{"formula": "LiSi2Au8", "functional": "PBE-GGA", "state": "relaxed", "lattice": [[4.487, 0.000, 0.000], [1.254, 6.794, 0.000], [1.290, 2.177, 6.458]], "species": ["Li", "Si", "Si", "Au", "Au", "Au", "Au", "Au", "Au", "Au", "Au"], "fractional_positions": [[0.000, 0.000, 0.000], [0.354, 0.339, 0.340], [0.646, 0.661, 0.660], [0.004, 0.324, 0.679], [0.095, 0.755, 0.756], [0.441, 0.945, 0.318], [0.446, 0.316, 0.947], [0.554, 0.684, 0.053], [0.559, 0.055, 0.682], [0.905, 0.245, 0.244], [0.996, 0.676, 0.321]], "polymorph_energy_kj_per_mol_atoms": 0.2, "energy_ev_per_fu": -40.119, "e_form_raw_mev_per_atom": -104, "crystal_system": "triclinic"}



{"formula": "Li3SiAu4", "functional": "PBE-GGA", "state": "relaxed", "lattice": [[13.027, 0.000, 0.000], [0.000, 4.456, 0.000], [-1.517, 0.000, 4.190]], "species": ["Li", "Li", "Li", "Li", "Li", "Li", "Si", "Si", "Au", "Au", "Au", "Au", "Au", "Au", "Au", "Au"], "fractional_positions": [[0.000, 0.000, 0.000], [0.248, 0.500, 0.748], [0.252, 0.000, 0.252], [0.500, 0.500, 0.000], [0.748, 0.000, 0.748], [0.752, 0.500, 0.252], [0.000, 0.500, 0.500], [0.500, 0.000, 0.500], [0.125, 0.000, 0.624], [0.125, 0.500, 0.124], [0.375, 0.000, 0.876], [0.375, 0.500, 0.376], [0.625, 0.000, 0.124], [0.625, 0.500, 0.624], [0.875, 0.000, 0.376], [0.875, 0.500, 0.876]], "polymorph_energy_kj_per_mol_atoms": 0.0, "energy_ev_per_fu": -27.661, "e_form_raw_mev_per_atom": -423, "crystal_system": "monoclinic"}



{"formula": "LiSiAu", "functional": "PBE-GGA", "state": "relaxed", "lattice": [[2.936, 0.000, 0.000], [-1.468, 2.543, 0.000], [0.000, 0.000, 6.461]], "species": ["Li", "Si", "Au"], "fractional_positions": [[0.000, 0.000, 0.000], [0.667, 0.333, 0.329], [0.333, 0.667, 0.653]], "energy_ev_per_fu": -10.730, "e_form_raw_mev_per_atom": -39, "crystal_system": "trigonal"}



{"formula": "LiSiAu2", "functional": "PBE-GGA", "state": "relaxed", "lattice": [[4.211, 0.000, 0.000], [0.000, 4.211, 0.000], [0.000, 0.000, 16.456]], "species": ["Li", "Li", "Li", "Li", "Si", "Si", "Si", "Si", "Au", "Au", "Au", "Au", "Au", "Au", "Au", "Au"], "fractional_positions": [[0.000, 0.000, 0.000], [0.000, 0.500, 0.250], [0.500, 0.000, 0.750], [0.500, 0.500, 0.500], [0.000, 0.000, 0.500], [0.000, 0.500, 0.750], [0.500, 0.000, 0.250], [0.500, 0.500, 0.000], [0.243, 0.250, 0.625], [0.250, 0.743, 0.875], [0.250, 0.757, 0.375], [0.257, 0.250, 0.125], [0.743, 0.750, 0.125], [0.750, 0.243, 0.375], [0.750, 0.257, 0.875], [0.757, 0.750, 0.625]], "energy_ev_per_fu": -14.084, "e_form_raw_mev_per_atom": -48, "crystal_system": "tetragonal"}